Sr6P3S | Alexandria | PBE-GGA | relaxed; formation energy without anion corrections = -1146 meV/atom; SG = P2_1/c (14)
1.0
-4.289 -2.140 -5.574
3.702 -7.179 -0.092
-7.289 -3.853 7.301
Sr P S
12 6 2
Direct
0.684 0.192 0.918
0.683 0.187 0.580
0.656 0.433 0.248
0.344 0.567 0.752
0.317 0.813 0.420
0.316 0.808 0.082
0.184 0.308 0.418
0.183 0.313 0.080
0.156 0.067 0.748
0.844 0.933 0.252
0.817 0.687 0.920
0.816 0.692 0.582
0.546 0.907 0.749
0.500 0.500 0.000
0.454 0.093 0.251
0.046 0.593 0.249
0.000 0.000 0.500
0.954 0.407 0.751
0.500 0.500 0.500
0.000 0.000 0.000

***

Si2TcAs | Alexandria | PBE-GGA | relaxed; formation energy without anion corrections = 4 meV/atom; SG = Pm (6)
1.0
4.055 0.000 0.000
0.000 3.337 -0.008
0.000 1.669 4.519
As Si Tc
1 2 1
Direct
0.500 0.721 0.685
0.000 0.018 0.090
0.500 0.456 0.210
0.000 0.306 0.516

***

NaSnPtBr2 | Alexandria | PBE-GGA | relaxed; formation energy without anion corrections = 758 meV/atom; SG = P4/mmm (123)
1.0
-2.485 5.294 5.067
-1.483 -4.604 4.083
7.101 0.416 3.048
Na Br Sn Pt
1 2 1 1
Direct
0.500 0.500 0.500
0.000 0.000 0.500
0.500 0.000 0.000
0.000 0.500 0.000
0.000 0.000 0.000

***

Hg4TeOs | Alexandria | PBE-GGA | relaxed; formation energy without anion corrections = 1023 meV/atom; SG = F-43m (216)
1.0
0.000 4.060 4.060
4.060 0.000 4.060
4.060 4.060 0.000
Hg Te Os
4 1 1
Direct
0.874 0.375 0.375
0.375 0.375 0.874
0.375 0.874 0.375
0.375 0.375 0.375
0.000 0.000 0.000
0.750 0.750 0.750

***

ReOsRu | Alexandria | PBE-GGA | relaxed; E_form = 0.199 eV/atom; energy above the most stable polymorph in this dataset = 0.40 eV/f.u.; SG = P-6m2 (187)
1.0
4.339 0.000 0.000
-2.170 3.758 0.000
0.000 0.000 2.722
Os Re Ru
1 1 1
Direct
0.000 0.000 0.167
0.667 0.333 0.167
0.333 0.667 0.667

***

Be3NbSb | Alexandria | PBE-GGA | relaxed; formation energy without anion corrections = 1548 meV/atom; energy above the most stable polymorph in this dataset = 1.13 eV/f.u.; SG = Pm-3m (221)
1.0
-4.048 -0.291 -1.840
0.857 -4.199 -1.222
-1.654 -1.464 3.870
Sb Nb Be
1 1 3
Direct
0.000 0.000 0.000
0.500 0.500 0.500
0.000 0.500 0.000
0.000 0.000 0.500
0.500 0.000 0.000

***

TbIn2S4 | Alexandria | PBE-GGA | relaxed; formation energy without anion corrections = -947 meV/atom; energy above the most stable polymorph in this dataset = 0.38 eV/f.u.; SG = I-42d (122)
1.0
7.101 -0.238 2.295
-3.264 6.058 2.892
0.115 -0.241 7.459
Tb In S
2 4 8
Direct
0.500 0.750 0.750
0.000 0.000 0.000
0.751 0.376 0.875
0.249 0.374 0.375
0.251 0.875 0.374
0.749 0.375 0.376
0.311 0.062 0.626
0.188 0.687 0.124
0.689 0.063 0.249
0.688 0.626 0.063
0.312 0.249 0.062
0.812 0.688 0.501
0.811 0.124 0.688
0.189 0.501 0.687

***

SrAsPd2Pt | Alexandria | PBE-GGA | relaxed; E_form = -0.502 eV/atom; SG = P4/mmm (123)
1.0
4.799 0.000 0.000
0.000 4.799 0.000
0.000 0.000 4.793
Sr As Pd Pt
1 1 2 1
Direct
0.500 0.500 0.500
0.000 0.000 0.000
0.000 0.500 0.000
0.500 0.000 0.000
0.000 0.000 0.500

***

Rb2TlGaCl6 | Alexandria | PBE-GGA | relaxed; formation energy without anion corrections = -1419 meV/atom; SG = Fm-3m (225)
1.0
-3.818 -5.903 -3.097
1.530 -2.213 -7.196
3.609 -6.659 -1.286
Tl Ga Rb Cl
1 1 2 6
Direct
0.500 0.500 0.500
0.000 0.000 0.000
0.250 0.250 0.250
0.750 0.750 0.750
0.221 0.779 0.779
0.779 0.221 0.779
0.221 0.779 0.221
0.221 0.221 0.779
0.779 0.779 0.221
0.779 0.221 0.221

***

MoI | Alexandria | PBE-GGA | relaxed; formation energy without anion corrections = 1627 meV/atom; energy above the most stable polymorph in this dataset = 2.75 eV/f.u.; SG = Pm-3n (223)
1.0
-5.057 -3.119 4.644
5.506 -3.887 3.384
0.994 5.660 4.883
Mo I
6 6
Direct
0.250 0.500 0.000
0.750 0.500 0.000
0.500 0.000 0.250
0.500 0.000 0.750
0.000 0.250 0.500
0.000 0.750 0.500
0.250 0.000 0.500
0.750 0.000 0.500
0.000 0.500 0.250
0.000 0.500 0.750
0.500 0.250 0.000
0.500 0.750 0.000

***

Ba2LiFeHg | Alexandria | PBE-GGA | relaxed; E_form = 0.476 eV/atom; SG = P4/mmm (123)
1.0
-2.002 1.853 -5.889
4.370 -1.422 -1.933
-2.398 -5.938 -1.054
Fe Li Hg Ba
1 1 1 2
Direct
0.500 0.500 0.500
0.000 0.500 0.000
0.000 0.000 0.000
0.000 0.000 0.500
0.500 0.000 0.000

***

BaNi2 | Alexandria | PBE-GGA | relaxed; E_form = 0.470 eV/atom; SG = Pnnm (58)
1.0
-1.420 -3.422 -2.130
-2.833 -1.899 4.941
-5.077 3.162 -1.696
Ba Ni
2 4
Direct
0.000 0.000 0.000
0.500 0.500 0.500
0.749 0.000 0.450
0.251 0.000 0.550
0.249 0.500 0.050
0.751 0.500 0.950

***

La10Pm4Th | Alexandria | PBE-GGA | relaxed; E_form = 0.185 eV/atom; SG = I4/mmm (139)
1.0
7.486 0.000 3.380
3.743 8.154 1.690
0.387 0.000 9.122
La Pm Th
10 4 1
Direct
0.250 0.500 0.500
0.706 0.214 0.786
0.080 0.214 0.214
0.508 0.786 0.786
0.706 0.786 0.214
0.294 0.786 0.214
0.750 0.500 0.500
0.294 0.214 0.786
0.492 0.214 0.214
0.920 0.786 0.786
0.222 0.000 0.555
0.778 0.445 0.000
0.222 0.555 0.000
0.778 0.000 0.445
0.000 0.000 0.000

***

TaTiO2 | Alexandria | PBE-GGA | relaxed; formation energy without anion corrections = -2022 meV/atom; energy above the most stable polymorph in this dataset = 0.00 eV/f.u.; SG = R-3m (166)
1.0
5.165 -2.630 3.087
5.003 -4.215 0.575
6.352 -1.563 0.577
Ti O Ta
1 2 1
Direct
0.500 0.500 0.500
0.891 0.891 0.891
0.109 0.109 0.109
0.000 0.000 0.000

***

Fe2CuHg | Alexandria | PBE-GGA | relaxed; E_form = 0.336 eV/atom; energy above the most stable polymorph in this dataset = 0.30 eV/f.u.; SG = Pmmm (47)
1.0
3.656 0.000 0.000
0.000 2.774 0.017
0.000 2.745 5.690
Cu Fe Hg
1 2 1
Direct
0.500 0.750 0.750
0.000 0.040 0.961
0.000 0.460 0.539
0.500 0.250 0.250

***

RbRe2Sb | Alexandria | PBE-GGA | relaxed; formation energy without anion corrections = 1352 meV/atom; SG = I-42d (122)
1.0
4.954 0.000 0.000
0.000 4.954 0.000
2.477 2.477 9.543
Re Rb Sb
4 2 2
Direct
0.906 0.125 0.250
0.844 0.625 0.250
0.375 0.094 0.750
0.875 0.156 0.750
0.500 0.500 0.000
0.250 0.750 0.500
0.000 0.000 0.000
0.750 0.250 0.500

***

Be3Si2Tc | Alexandria | PBE-GGA | relaxed; formation energy without anion corrections = -68 meV/atom; SG = C2/c (15)
1.0
-3.388 1.961 -1.497
-2.777 -2.573 1.797
3.541 0.466 9.595
Be Si Tc
6 4 2
Direct
0.643 0.441 0.434
0.357 0.559 0.566
0.507 0.209 0.066
0.690 0.940 0.750
0.493 0.791 0.934
0.310 0.060 0.250
0.008 0.086 0.386
0.992 0.914 0.614
0.800 0.378 0.886
0.200 0.622 0.114
0.897 0.647 0.250
0.103 0.353 0.750

***

KTaCl2 | Alexandria | PBE-GGA | relaxed; formation energy without anion corrections = -367 meV/atom; energy above the most stable polymorph in this dataset = 0.25 eV/f.u.; SG = Cmmm (65)
1.0
3.544 0.005 0.000
-2.156 2.813 0.000
0.000 0.000 9.207
K Cl Ta
1 2 1
Direct
0.500 0.500 0.250
0.000 0.000 0.970
0.000 0.000 0.530
0.500 0.500 0.750

***

| no. | theoretical density (g/cm³) |
| --- | --- |
| 1 | 3.30 |
| 2 | 6.22 |
| 3 | 2.18 |
| 4 | 13.90 |
| 5 | 17.86 |
| 6 | 4.54 |
| 7 | 5.36 |
| 8 | 8.58 |
| 9 | 3.41 |
| 10 | 5.18 |
| 11 | 4.25 |
| 12 | 5.30 |
| 13 | 6.69 |
| 14 | 8.92 |
| 15 | 10.84 |
| 16 | 8.22 |
| 17 | 4.31 |
| 18 | 5.26 |